YFeAsW: relaxed, PBE-GGA.

Cell: 6.495 6.495 6.495 Å, 90.00 90.00 90.00°
Space group F-43m (No. 216)
Unique sites:
Y: 0.000 0.000 0.000
Fe: 0.000 0.000 0.500
As: 0.250 0.250 0.250
W: 0.250 0.250 0.750

Results
For the excess energy over the best structure of this formula in the dataset, the calculation gives 18 kJ/mol of formula units. The energy is -7.49 eV/atom. As for the volume: 17.13 Å³/atom.


LaIn8Fe4: relaxed, PBE-GGA.

Cell: 9.677 9.677 5.553 Å, 90.00 90.00 90.00°
Space group I4/mmm (No. 139)
Unique sites:
La: 0.000 0.000 0.000
In: 0.000 0.222 0.500
In: 0.000 0.335 0.000
Fe: 0.250 0.250 0.250

Results
The energy is -4.61 eV/atom. As for the volume: 20.00 Å³/atom.


NaLaCdTe3: relaxed, PBE-GGA.

Cell: 4.511 14.855 12.090 Å, 90.00 90.00 90.00°
Space group Cmcm (No. 63)
Unique sites:
Na: 0.000 0.234 0.250
La: 0.000 0.000 0.000
Cd: 0.000 0.471 0.750
Te: 0.000 0.092 0.750
Te: 0.000 0.354 0.566

Results
For the excess energy over the best structure of this formula in the dataset, the calculation gives 0 kJ/mol of formula units. The energy is -3.80 eV/atom. As for the volume: 33.76 Å³/atom.


Question: energy of number 2 (LaIn8Fe4)?
Answer: -4.61 eV/atom


Question: Among the records above, which one has the lowest energy?
Answer: YFeAsW